[1]
The following is a GGA-PBE calculation of crystalline LaZrGa3 at its relaxed geometry, from the Alexandria database.

Values from the calculation:
SG: Pm-3m
Formation enthalpy at 0 K (eV/atom): 1.014

a = 5.3402 Å, b = 5.3402 Å, c = 5.3402 Å
α = 90.00°, β = 90.00°, γ = 90.00°
Last column: nearest neighbours and their distance in Å.
Fractional coordinates of all 5 atoms:
La  0.0000  0.0000  0.0000  6 Ga 2.67
Zr  0.5000  0.5000  0.5000  12 Ga 3.78
Ga  0.0000  0.0000  0.5000  2 La 2.67
Ga  0.0000  0.5000  0.0000  2 La 2.67
Ga  0.5000  0.0000  0.0000  2 La 2.67

[2]
The following is a GGA-PBE calculation of crystalline LaScN2 at its relaxed geometry, from the Alexandria database.

Values from the calculation:
SG: Fm-3m
Formation energy from raw total energies (eV per atom): -0.7088

a = 4.2442 Å, b = 4.2442 Å, c = 4.2442 Å
α = 60.00°, β = 60.00°, γ = 60.00°
Last column: nearest neighbours and their distance in Å.
Fractional coordinates of all 4 atoms:
La  0.0000  0.0000  0.0000  8 N 2.60
Sc  0.5000  0.5000  0.5000  8 N 2.60
N  0.2500  0.2500  0.2500  4 Sc 2.60, 4 La 2.60
N  0.7500  0.7500  0.7500  4 Sc 2.60, 4 La 2.60

[3]
The following is a GGA-PBE calculation of crystalline YMg2 at its relaxed geometry, from the Alexandria database.

Values from the calculation:
SG: P-62m
Formation enthalpy at 0 K (eV/atom): 0.165

a = 7.3640 Å, b = 7.3640 Å, c = 5.3093 Å
α = 90.00°, β = 90.00°, γ = 120.00°
Last column: nearest neighbours and their distance in Å.
Fractional coordinates of all 9 atoms:
Y  0.0000  0.0000  0.0000  6 Mg 3.13
Y  0.3333  0.6667  0.5000  3 Mg 2.94
Y  0.6667  0.3333  0.5000  3 Mg 2.94
Mg  0.0000  0.2248  0.5000  2 Mg 2.87, 4 Y 2.94-3.13
Mg  0.0000  0.5000  0.0000  6 Mg 3.34-3.68, 6 Y 3.40-3.68
Mg  0.2248  0.0000  0.5000  2 Mg 2.87, 4 Y 2.94-3.13
Mg  0.5000  0.0000  0.0000  6 Mg 3.34-3.68, 6 Y 3.40-3.68
Mg  0.5000  0.5000  0.0000  6 Mg 3.34-3.68, 6 Y 3.40-3.68
Mg  0.7752  0.7752  0.5000  2 Mg 2.87, 4 Y 2.94-3.13

[4]
The following is a GGA-PBE calculation of crystalline Nd4In2Hg at its relaxed geometry, from the Alexandria database.

Values from the calculation:
SG: P2_1/m
Formation enthalpy at 0 K (eV/atom): -0.253

a = 7.5153 Å, b = 6.7356 Å, c = 9.3050 Å
α = 90.00°, β = 110.42°, γ = 90.00°
Last column: nearest neighbours and their distance in Å.
Fractional coordinates of all 14 atoms:
Nd  0.0969  0.2500  0.0548  1 Hg 3.15, 1 In 3.35
Nd  0.1662  0.0071  0.7231  1 Hg 3.07, 4 In 3.26-3.43, 1 Nd 3.27
Nd  0.1662  0.4929  0.7231  1 Hg 3.07, 4 In 3.26-3.43, 1 Nd 3.27
Nd  0.3251  0.7500  0.3342  1 Hg 3.17, 2 In 3.28-3.33
Nd  0.6749  0.2500  0.6658  1 Hg 3.17, 2 In 3.28-3.33
Nd  0.8338  0.5071  0.2769  1 Hg 3.07, 4 In 3.26-3.43, 1 Nd 3.27
Nd  0.8338  0.9929  0.2769  1 Hg 3.07, 4 In 3.26-3.43, 1 Nd 3.27
Nd  0.9031  0.7500  0.9452  1 Hg 3.15, 1 In 3.35
In  0.2205  0.2500  0.4372  1 Hg 2.86
In  0.4478  0.7500  0.0283  1 Hg 3.20, 5 Nd 3.28-3.43, 2 In 3.54
In  0.5522  0.2500  0.9717  1 Hg 3.20, 5 Nd 3.28-3.43, 2 In 3.54
In  0.7795  0.7500  0.5628  1 Hg 2.86
Hg  0.4912  0.7500  0.6978  1 In 2.86, 4 Nd 3.07-3.17
Hg  0.5088  0.2500  0.3022  1 In 2.86, 4 Nd 3.07-3.17

[5]
The following is a GGA-PBE calculation of crystalline ThTcN4 at its relaxed geometry, from the Alexandria database.

Values from the calculation:
SG: I4_1/a
Formation energy from raw total energies (eV per atom): -0.3314

a = 7.1522 Å, b = 7.1522 Å, c = 7.1522 Å
α = 136.98°, β = 136.98°, γ = 62.47°
Last column: nearest neighbours and their distance in Å.
Fractional coordinates of all 12 atoms:
Th  0.3750  0.1250  0.2500  8 N 2.51-2.52
Th  0.6250  0.8750  0.7500  8 N 2.51-2.52
Tc  0.1250  0.3750  0.7500  4 N 1.82
Tc  0.8750  0.6250  0.2500  4 N 1.82
N  0.0765  0.1959  0.3596  1 Tc 1.82
N  0.2169  0.5765  0.3806  1 Tc 1.82
N  0.3041  0.1637  0.8806  1 Tc 1.82
N  0.3363  0.7169  0.1404  1 Tc 1.82
N  0.6637  0.2831  0.8596  1 Tc 1.82
N  0.6959  0.8363  0.1194  1 Tc 1.82
N  0.7831  0.4235  0.6194  1 Tc 1.82
N  0.9235  0.8041  0.6404  1 Tc 1.82

[6]
The following is a GGA-PBE calculation of crystalline BaSn2GePd2 at its relaxed geometry, from the Alexandria database.

Values from the calculation:
SG: P4/mmm
Formation enthalpy at 0 K (eV/atom): -0.474

a = 4.8332 Å, b = 4.8332 Å, c = 6.6407 Å
α = 90.00°, β = 90.00°, γ = 90.00°
Last column: nearest neighbours and their distance in Å.
Fractional coordinates of all 6 atoms:
Ba  0.0000  0.0000  0.0000  2 Ge 3.32
Sn  0.5000  0.5000  0.2546  4 Pd 2.91, 1 Sn 3.26
Sn  0.5000  0.5000  0.7454  4 Pd 2.91, 1 Sn 3.26
Ge  0.0000  0.0000  0.5000  4 Pd 2.42
Pd  0.0000  0.5000  0.5000  2 Ge 2.42
Pd  0.5000  0.0000  0.5000  2 Ge 2.42

[7]
The following is a GGA-PBE calculation of crystalline Tb2CeSmIn4 at its relaxed geometry, from the Alexandria database.

Values from the calculation:
SG: R-3m
Formation enthalpy at 0 K (eV/atom): -0.442

a = 9.3573 Å, b = 9.3573 Å, c = 9.3573 Å
α = 33.46°, β = 33.46°, γ = 33.46°
Last column: nearest neighbours and their distance in Å.
Fractional coordinates of all 8 atoms:
Tb  0.2502  0.2502  0.2502  8 In 3.29-3.33
Tb  0.7498  0.7498  0.7498  8 In 3.29-3.33
Ce  0.5000  0.5000  0.5000  8 In 3.30-3.32
Sm  0.0000  0.0000  0.0000  8 In 3.30
In  0.1245  0.1245  0.1245  1 Sm 3.30, 4 Tb 3.30-3.33, 3 Ce 3.30
In  0.3745  0.3745  0.3745  4 Tb 3.29-3.30, 3 Sm 3.30, 1 Ce 3.32
In  0.6255  0.6255  0.6255  4 Tb 3.29-3.30, 3 Sm 3.30, 1 Ce 3.32
In  0.8755  0.8755  0.8755  1 Sm 3.30, 4 Tb 3.30-3.33, 3 Ce 3.30

[8]
The following is a GGA-PBE calculation of crystalline CaAl6Cu3 at its relaxed geometry, from the Alexandria database.

Values from the calculation:
SG: P2_1/m
Formation enthalpy at 0 K (eV/atom): -0.101

a = 8.8687 Å, b = 4.0255 Å, c = 9.9346 Å
α = 90.00°, β = 97.62°, γ = 90.00°
Last column: nearest neighbours and their distance in Å.
Fractional coordinates of all 20 atoms:
Ca  0.0178  0.2500  0.2073  8 Al 3.04-3.28, 5 Cu 3.06-3.36
Ca  0.9822  0.7500  0.7927  8 Al 3.04-3.28, 5 Cu 3.06-3.36
Al  0.1028  0.7500  0.4652  2 Cu 2.67, 6 Al 2.83-2.96
Al  0.2062  0.2500  0.9443  4 Cu 2.44-2.68, 2 Al 2.70-2.72
Al  0.2132  0.2500  0.6730  3 Cu 2.45-2.72, 1 Al 2.70
Al  0.3613  0.2500  0.2144  4 Cu 2.46-2.71, 3 Al 2.69
Al  0.4140  0.7500  0.5758  4 Cu 2.53-2.69, 2 Al 2.69-2.83
Al  0.4954  0.7500  0.0945  3 Cu 2.42-2.52, 2 Al 2.69
Al  0.5046  0.2500  0.9055  3 Cu 2.42-2.52, 2 Al 2.69
Al  0.5860  0.2500  0.4242  4 Cu 2.53-2.69, 2 Al 2.69-2.83
Al  0.6387  0.7500  0.7856  4 Cu 2.46-2.71, 3 Al 2.69
Al  0.7868  0.7500  0.3270  3 Cu 2.45-2.72, 1 Al 2.70
Al  0.7938  0.7500  0.0557  4 Cu 2.44-2.68, 2 Al 2.70-2.72
Al  0.8972  0.2500  0.5348  2 Cu 2.67, 6 Al 2.83-2.96
Cu  0.2214  0.7500  0.0850  5 Al 2.42-2.61
Cu  0.2971  0.2500  0.4474  7 Al 2.45-2.67
Cu  0.3440  0.7500  0.8315  9 Al 2.52-2.77
Cu  0.6560  0.2500  0.1685  9 Al 2.52-2.77
Cu  0.7029  0.7500  0.5526  7 Al 2.45-2.67
Cu  0.7786  0.2500  0.9150  5 Al 2.42-2.61

[9]
The following is a GGA-PBE calculation of crystalline AcHgH6Pt2 at its relaxed geometry, from the Alexandria database.

Values from the calculation:
SG: C2/c
Total energy (eV/f.u.): -39.768

a = 6.4138 Å, b = 6.4138 Å, c = 6.2708 Å
α = 100.14°, β = 100.14°, γ = 91.85°
Last column: nearest neighbours and their distance in Å.
Fractional coordinates of all 20 atoms:
Ac  0.1673  0.8327  0.7500  10 H 2.58-2.74
Ac  0.8327  0.1673  0.2500  10 H 2.58-2.74
Hg  0.4390  0.5610  0.2500  2 H 2.12
Hg  0.5610  0.4390  0.7500  2 H 2.12
H  0.0890  0.5208  0.3881  1 Pt 1.65
H  0.1019  0.1896  0.9841  1 Pt 1.68
H  0.1896  0.1019  0.4841  1 Pt 1.68
H  0.2426  0.4243  0.8000  1 Pt 1.67
H  0.4243  0.2426  0.3000  1 Pt 1.67
H  0.4792  0.9110  0.1119  1 Pt 1.65
H  0.5208  0.0890  0.8881  1 Pt 1.65
H  0.5757  0.7574  0.7000  1 Pt 1.67
H  0.7574  0.5757  0.2000  1 Pt 1.67
H  0.8104  0.8981  0.5159  1 Pt 1.68
H  0.8981  0.8104  0.0159  1 Pt 1.68
H  0.9110  0.4792  0.6119  1 Pt 1.65
Pt  0.0036  0.6706  0.2058  3 H 1.65-1.68
Pt  0.3294  0.9964  0.2942  3 H 1.65-1.68
Pt  0.6706  0.0036  0.7058  3 H 1.65-1.68
Pt  0.9964  0.3294  0.7942  3 H 1.65-1.68

[10]
The following is a GGA-PBE calculation of crystalline MnFeCuSb at its relaxed geometry, from the Alexandria database.

Values from the calculation:
SG: F-43m
Formation energy from raw total energies (eV per atom): 0.2086

a = 4.3119 Å, b = 4.3119 Å, c = 4.3119 Å
α = 60.00°, β = 60.00°, γ = 60.00°
Last column: nearest neighbours and their distance in Å.
Fractional coordinates of all 4 atoms:
Mn  0.0000  0.0000  0.0000  4 Fe 2.64, 4 Cu 2.64
Fe  0.2500  0.2500  0.2500  4 Mn 2.64, 4 Sb 2.64
Cu  0.7500  0.7500  0.7500  4 Mn 2.64, 4 Sb 2.64
Sb  0.5000  0.5000  0.5000  4 Fe 2.64, 4 Cu 2.64

[11]
The following is a GGA-PBE calculation of crystalline Er2TmBi at its relaxed geometry, from the Alexandria database.

Values from the calculation:
SG: P4/mmm
Formation enthalpy at 0 K (eV/atom): -0.334

a = 4.1635 Å, b = 4.1635 Å, c = 6.7004 Å
α = 90.00°, β = 90.00°, γ = 90.00°
Last column: nearest neighbours and their distance in Å.
Fractional coordinates of all 4 atoms:
Er  0.0000  0.0000  0.2435  2 Er 3.26-3.44, 4 Bi 3.37, 4 Tm 3.41
Er  0.0000  0.0000  0.7565  2 Er 3.26-3.44, 4 Bi 3.37, 4 Tm 3.41
Tm  0.5000  0.5000  0.5000  2 Bi 3.35, 8 Er 3.41
Bi  0.5000  0.5000  0.0000  2 Tm 3.35, 8 Er 3.37

[12]
The following is a GGA-PBE calculation of crystalline LiReGe2Cl at its relaxed geometry, from the Alexandria database.

Values from the calculation:
SG: P4/mmm
Formation energy from raw total energies (eV per atom): 0.3009

a = 4.7591 Å, b = 4.7591 Å, c = 5.5333 Å
α = 90.00°, β = 90.00°, γ = 90.00°
Last column: nearest neighbours and their distance in Å.
Fractional coordinates of all 5 atoms:
Li  0.0000  0.0000  0.0000  2 Re 2.77
Re  0.0000  0.0000  0.5000  4 Ge 2.38
Ge  0.0000  0.5000  0.5000  2 Re 2.38
Ge  0.5000  0.0000  0.5000  2 Re 2.38
Cl  0.5000  0.5000  0.0000  4 Li 3.37, 8 Ge 3.65

[13]
The following is a GGA-PBE calculation of crystalline MgZr3Ru at its relaxed geometry, from the Alexandria database.

Values from the calculation:
SG: Pm-3m
Formation enthalpy at 0 K (eV/atom): 0.267

a = 5.0460 Å, b = 5.0460 Å, c = 5.0460 Å
α = 90.00°, β = 90.00°, γ = 90.00°
Last column: nearest neighbours and their distance in Å.
Fractional coordinates of all 5 atoms:
Mg  0.0000  0.0000  0.0000  12 Zr 3.57
Zr  0.0000  0.5000  0.5000  2 Ru 2.52
Zr  0.5000  0.0000  0.5000  2 Ru 2.52
Zr  0.5000  0.5000  0.0000  2 Ru 2.52
Ru  0.5000  0.5000  0.5000  6 Zr 2.52

[14]
The following is a GGA-PBE calculation of crystalline Ba2Tl5 at its relaxed geometry, from the Alexandria database.

Values from the calculation:
SG: C2/m
Formation enthalpy at 0 K (eV/atom): -0.308

a = 6.9021 Å, b = 6.9021 Å, c = 7.9268 Å
α = 107.75°, β = 107.75°, γ = 44.38°
Last column: nearest neighbours and their distance in Å.
Fractional coordinates of all 7 atoms:
Ba  0.1393  0.1393  0.2652  11 Tl 3.66-4.08
Ba  0.8607  0.8607  0.7348  11 Tl 3.66-4.08
Tl  0.1620  0.1620  0.7461  5 Tl 3.19-3.50
Tl  0.3999  0.3999  0.0755  5 Tl 3.16-3.29
Tl  0.5000  0.5000  0.5000  6 Tl 3.18-3.50
Tl  0.6001  0.6001  0.9245  5 Tl 3.16-3.29
Tl  0.8380  0.8380  0.2539  5 Tl 3.19-3.50

[15]
The following is a GGA-PBE calculation of crystalline SmTaNbSi2 at its relaxed geometry, from the Alexandria database.

Values from the calculation:
SG: I-4m2
Formation energy from raw total energies (eV per atom): -0.6476

a = 6.5391 Å, b = 6.5391 Å, c = 6.5391 Å
α = 143.96°, β = 143.96°, γ = 51.89°
Last column: nearest neighbours and their distance in Å.
Fractional coordinates of all 5 atoms:
Sm  0.0000  0.0000  0.0000  8 Si 3.11
Ta  0.2500  0.7500  0.5000  4 Si 2.66, 4 Nb 2.86
Nb  0.7500  0.2500  0.5000  4 Si 2.66, 4 Ta 2.86
Si  0.3972  0.3972  0.0000  1 Si 2.42, 2 Ta 2.66, 2 Nb 2.66
Si  0.6028  0.6028  0.0000  1 Si 2.42, 2 Ta 2.66, 2 Nb 2.66

[16]
The following is a GGA-PBE calculation of crystalline Si2NiSnPt at its relaxed geometry, from the Alexandria database.

Values from the calculation:
SG: P4/mmm
Formation energy from raw total energies (eV per atom): 1.4049

a = 4.9874 Å, b = 4.9874 Å, c = 4.5859 Å
α = 90.00°, β = 90.00°, γ = 90.00°
Last column: nearest neighbours and their distance in Å.
Fractional coordinates of all 5 atoms:
Si  0.0000  0.5000  0.0000  2 Sn 2.49
Si  0.5000  0.0000  0.0000  2 Sn 2.49
Ni  0.0000  0.0000  0.5000  2 Sn 2.29
Sn  0.0000  0.0000  0.0000  2 Ni 2.29, 4 Si 2.49
Pt  0.5000  0.5000  0.5000  8 Si 3.39, 4 Ni 3.53

[17]
The following is a GGA-PBE calculation of crystalline SrTl4In at its relaxed geometry, from the Alexandria database.

Values from the calculation:
SG: C2/m
Formation enthalpy at 0 K (eV/atom): -0.114

a = 8.9922 Å, b = 8.9922 Å, c = 5.9928 Å
α = 105.00°, β = 105.00°, γ = 56.60°
Last column: nearest neighbours and their distance in Å.
Fractional coordinates of all 12 atoms:
Sr  0.2111  0.2111  0.1408  10 Tl 3.46-3.82, 1 In 3.68
Sr  0.7889  0.7889  0.8592  10 Tl 3.46-3.82, 1 In 3.68
Tl  0.0766  0.6903  0.4361  1 In 3.18, 4 Tl 3.29-3.54
Tl  0.1900  0.8100  0.0000  2 In 3.21, 3 Tl 3.24-3.34, 2 Sr 3.58
Tl  0.3097  0.9234  0.5639  1 In 3.18, 4 Tl 3.29-3.54
Tl  0.3305  0.3305  0.7267  2 In 3.11-3.40, 2 Tl 3.38, 1 Sr 3.46
Tl  0.6695  0.6695  0.2733  2 In 3.11-3.40, 2 Tl 3.38, 1 Sr 3.46
Tl  0.6903  0.0766  0.4361  1 In 3.18, 4 Tl 3.29-3.54
Tl  0.8100  0.1900  0.0000  2 In 3.21, 3 Tl 3.24-3.34, 2 Sr 3.58
Tl  0.9234  0.3097  0.5639  1 In 3.18, 4 Tl 3.29-3.54
In  0.4518  0.4518  0.2409  1 In 3.03, 5 Tl 3.11-3.21
In  0.5482  0.5482  0.7591  1 In 3.03, 5 Tl 3.11-3.21